# 1
Here is Cd2CuAs at its PBEsol-relaxed geometry from the Alexandria database. Energies are from meta-GGA SCAN.

Results
final energy: -23.99 eV/atom
Fermi-level density of states: 1.328 states/eV per cell
energy of formation: 62 meV/atom

a b c (Å): 2.8596 4.5317 6.3821
angles (deg): 110.80 102.95 90.00
Positions (direct):
Cd  0.8058  0.3058  0.6116
Cd  0.9929  0.9929  0.9858
Cu  0.5114  0.5114  0.0227
As  0.1900  0.6900  0.3799

---

# 2
Here is SrTiP2O8 at its PBEsol-relaxed geometry from the Alexandria database. Energies are from meta-GGA SCAN.

Results
formation energy (no corrections): -3.00 eV/atom
final energy: -12.08 eV/atom
Fermi-level density of states: 0.000 states/eV per cell

a b c (Å): 4.8346 4.8346 7.3256
angles (deg): 87.36 87.36 65.24
Positions (direct):
Ti  0.0000  0.0000  0.0000
O  0.2265  0.2265  0.9335
O  0.6968  0.6968  0.4119
O  0.7735  0.7735  0.0665
O  0.2292  0.7144  0.8070
O  0.2856  0.7708  0.1930
O  0.7144  0.2292  0.8070
O  0.7708  0.2856  0.1930
O  0.3032  0.3032  0.5881
P  0.3637  0.3637  0.7799
P  0.6363  0.6363  0.2201
Sr  0.0000  0.0000  0.5000

---

# 3
Here is BeSnSeO2 at its PBEsol-relaxed geometry from the Alexandria database. Energies are from meta-GGA SCAN.

Results
formation energy (no corrections): -0.49 eV/atom
final energy: -15.05 eV/atom
Fermi-level density of states: 1.604 states/eV per cell

a b c (Å): 3.7097 3.7097 4.7387
angles (deg): 90.00 90.00 90.00
Positions (direct):
Sn  0.5000  0.5000  0.5000
O  0.5000  0.0000  0.0000
O  0.0000  0.5000  0.0000
Be  0.0000  0.0000  0.0000
Se  0.0000  0.0000  0.5000

---

# 4
Here is KNiMo at its PBEsol-relaxed geometry from the Alexandria database. Energies are from meta-GGA SCAN.

Results
final energy: -17.27 eV/atom
Fermi-level density of states: 3.490 states/eV per cell
energy of formation: 2527 meV/atom

a b c (Å): 4.5860 4.5860 4.5860
angles (deg): 60.00 60.00 60.00
Positions (direct):
Mo  0.0000  0.0000  0.0000
K  0.7500  0.7500  0.7500
Ni  0.5000  0.5000  0.5000

---

Fermi-level density of states of number 2 (SrTiP2O8)? 0.000 states/eV per cell

---

Repeat the second record exactly.
Here is SrTiP2O8 at its PBEsol-relaxed geometry from the Alexandria database. Energies are from meta-GGA SCAN.

Results
formation energy (no corrections): -3.00 eV/atom
final energy: -12.08 eV/atom
Fermi-level density of states: 0.000 states/eV per cell

a b c (Å): 4.8346 4.8346 7.3256
angles (deg): 87.36 87.36 65.24
Positions (direct):
Ti  0.0000  0.0000  0.0000
O  0.2265  0.2265  0.9335
O  0.6968  0.6968  0.4119
O  0.7735  0.7735  0.0665
O  0.2292  0.7144  0.8070
O  0.2856  0.7708  0.1930
O  0.7144  0.2292  0.8070
O  0.7708  0.2856  0.1930
O  0.3032  0.3032  0.5881
P  0.3637  0.3637  0.7799
P  0.6363  0.6363  0.2201
Sr  0.0000  0.0000  0.5000